DFT (PBE-GGA) results for a relaxed KAl crystal.

The space group is P6_3/mmc (No. 194) and the conventional cell measures 6.0060, 6.0060 and 7.0367 Å, with angles of 90.00, 90.00 and 120.00 degrees. The asymmetric unit holds K at (0.3333, 0.6667, 0.2500) and Al at (0.3333, 0.6667, 0.7500).

As for the energy above the lowest structure with this stoichiometry: 861 meV per atom. For the total moment, the calculation gives 0.000 μB per atom. The formation energy is 0.979 eV/atom. The value obtained for the density of states at the Fermi level is 2.1 states/eV/f.u.